No. 1
The following is a PBE calculation of a relaxed structure of AlH, from Alexandria. Values from VASP.

```
&SYSTEM
  ibrav = 0, nat = 8, ntyp = 2
/
ATOMIC_SPECIES
Al 26.98 Al.upf
H 1.01 H.upf
CELL_PARAMETERS angstrom
4.280 0.000 0.000
0.000 4.280 0.000
0.000 0.000 4.183
ATOMIC_POSITIONS crystal
Al 0.236 0.236 0.000
Al 0.264 0.736 0.500
Al 0.736 0.264 0.500
Al 0.764 0.764 0.000
H 0.185 0.185 0.500
H 0.315 0.685 0.000
H 0.685 0.315 0.000
H 0.815 0.815 0.500
```

## Properties
Space group ... P4_2/mnm (136)
Calculated volume ... 76.63 Å³/cell
ΔE to the lowest computed polymorph ... 43.6 kJ/mol of formula units

=====

No. 2
The following is a PBE calculation of a relaxed structure of AlH, from Alexandria. Values from VASP.

```
&SYSTEM
  ibrav = 0, nat = 12, ntyp = 2
/
ATOMIC_SPECIES
Al 26.98 Al.upf
H 1.01 H.upf
CELL_PARAMETERS angstrom
5.022 0.000 0.000
0.000 8.711 0.000
0.000 0.000 2.942
ATOMIC_POSITIONS crystal
Al 0.250 0.091 0.002
Al 0.250 0.409 0.002
Al 0.250 0.750 0.008
Al 0.750 0.250 0.992
Al 0.750 0.591 0.998
Al 0.750 0.909 0.998
H 0.250 0.250 0.500
H 0.250 0.524 0.501
H 0.250 0.976 0.501
H 0.750 0.024 0.499
H 0.750 0.476 0.499
H 0.750 0.750 0.500
```

## Properties
Space group ... Pmmn (59)
Calculated volume ... 128.71 Å³/cell
ΔE to the lowest computed polymorph ... 37.2 kJ/mol of formula units

=====

No. 3
The following is a PBE calculation of a relaxed structure of AlH3, from Alexandria. Values from VASP.

```
&SYSTEM
  ibrav = 0, nat = 24, ntyp = 2
/
ATOMIC_SPECIES
Al 26.98 Al.upf
H 1.01 H.upf
CELL_PARAMETERS angstrom
3.218 -5.447 0.000
3.218 5.447 0.000
0.000 0.000 6.476
ATOMIC_POSITIONS crystal
Al 0.000 0.000 0.000
Al 0.000 0.000 0.500
Al 0.000 0.500 0.000
Al 0.000 0.500 0.500
Al 0.500 0.000 0.000
Al 0.500 0.000 0.500
H 0.053 0.947 0.750
H 0.094 0.295 0.561
H 0.094 0.295 0.939
H 0.095 0.509 0.250
H 0.286 0.714 0.566
H 0.286 0.714 0.934
H 0.295 0.094 0.061
H 0.295 0.094 0.439
H 0.491 0.905 0.250
H 0.509 0.095 0.750
H 0.705 0.906 0.561
H 0.705 0.906 0.939
H 0.714 0.286 0.066
H 0.714 0.286 0.434
H 0.905 0.491 0.750
H 0.906 0.705 0.061
H 0.906 0.705 0.439
H 0.947 0.053 0.250
```

## Properties
Calculated total energy ... -83.54 eV/cell
Space group ... Cmcm (63)
Calculated volume ... 227.01 Å³/cell

=====

No. 4
The following is a PBE calculation of a relaxed structure of AlH2, from Alexandria. Values from VASP.

```
&SYSTEM
  ibrav = 0, nat = 6, ntyp = 2
/
ATOMIC_SPECIES
Al 26.98 Al.upf
H 1.01 H.upf
CELL_PARAMETERS angstrom
4.379 0.000 0.000
-1.378 4.241 0.000
-0.707 -2.502 3.849
ATOMIC_POSITIONS crystal
Al 0.000 0.000 0.000
Al 0.362 0.697 0.260
H 0.106 0.645 0.825
H 0.252 0.049 0.435
H 0.680 0.855 0.132
H 0.681 0.849 0.630
```

## Properties
Calculated total energy ... -20.31 eV/cell
Space group ... P1 (1)
Calculated volume ... 71.47 Å³/cell

=====

No. 5
The following is a PBE calculation of a relaxed structure of AlH2, from Alexandria. Values from VASP.

```
&SYSTEM
  ibrav = 0, nat = 6, ntyp = 2
/
ATOMIC_SPECIES
Al 26.98 Al.upf
H 1.01 H.upf
CELL_PARAMETERS angstrom
4.680 -1.355 0.000
4.680 1.355 0.000
-4.140 0.000 4.763
ATOMIC_POSITIONS crystal
Al 0.000 0.000 0.000
Al 0.500 0.500 0.500
H 0.010 0.010 0.320
H 0.264 0.264 0.253
H 0.736 0.736 0.747
H 0.990 0.990 0.680
```

## Properties
Calculated total energy ... -20.12 eV/cell
Space group ... C2/m (12)
Calculated volume ... 60.39 Å³/cell

=====

No. 6
The following is a PBE calculation of a relaxed structure of AlH5, from Alexandria. Values from VASP.

```
&SYSTEM
  ibrav = 0, nat = 6, ntyp = 2
/
ATOMIC_SPECIES
Al 26.98 Al.upf
H 1.01 H.upf
CELL_PARAMETERS angstrom
1.423 -3.867 0.000
1.423 3.867 0.000
0.000 0.000 2.852
ATOMIC_POSITIONS crystal
Al 0.000 0.000 0.000
H 0.156 0.844 0.500
H 0.348 0.652 0.000
H 0.500 0.500 0.500
H 0.652 0.348 0.000
H 0.844 0.156 0.500
```

## Properties
Space group ... Cmmm (65)
Calculated volume ... 31.38 Å³/cell
ΔE to the lowest computed polymorph ... 377.5 kJ/mol of formula units

=====

No. 7
The following is a PBE calculation of a relaxed structure of AlH3, from Alexandria. Values from VASP.

```
&SYSTEM
  ibrav = 0, nat = 8, ntyp = 2
/
ATOMIC_SPECIES
Al 26.98 Al.upf
H 1.01 H.upf
CELL_PARAMETERS angstrom
2.247 -3.887 0.000
2.247 3.887 0.000
-1.474 0.000 4.171
ATOMIC_POSITIONS crystal
Al 0.167 0.833 0.000
Al 0.833 0.167 0.000
H 0.071 0.424 0.769
H 0.221 0.221 0.233
H 0.424 0.071 0.769
H 0.576 0.929 0.231
H 0.779 0.779 0.767
H 0.929 0.576 0.231
```

## Properties
Calculated total energy ... -27.55 eV/cell
Space group ... C2/m (12)
Calculated volume ... 72.85 Å³/cell

=====

No. 8
The following is a PBE calculation of a relaxed structure of AlH, from Alexandria. Values from VASP.

```
&SYSTEM
  ibrav = 0, nat = 2, ntyp = 2
/
ATOMIC_SPECIES
Al 26.98 Al.upf
H 1.01 H.upf
CELL_PARAMETERS angstrom
0.000 2.113 2.113
2.113 0.000 2.113
2.113 2.113 0.000
ATOMIC_POSITIONS crystal
Al 0.000 0.000 0.000
H 0.500 0.500 0.500
```

## Properties
Space group ... Fm-3m (225)
Calculated volume ... 18.88 Å³/cell
ΔE to the lowest computed polymorph ... 48.6 kJ/mol of formula units

=====

No. 9
The following is a PBE calculation of a relaxed structure of AlH, from Alexandria. Values from VASP.

```
&SYSTEM
  ibrav = 0, nat = 8, ntyp = 2
/
ATOMIC_SPECIES
Al 26.98 Al.upf
H 1.01 H.upf
CELL_PARAMETERS angstrom
-4.404 4.404 1.331
4.404 -4.404 1.331
4.404 4.404 -1.331
ATOMIC_POSITIONS crystal
Al 0.049 0.308 0.357
Al 0.308 0.951 0.259
Al 0.692 0.049 0.741
Al 0.951 0.692 0.643
H 0.322 0.584 0.905
H 0.416 0.322 0.738
H 0.584 0.678 0.262
H 0.678 0.416 0.095
```

## Properties
Space group ... I4/m (87)
Calculated volume ... 103.30 Å³/cell
ΔE to the lowest computed polymorph ... 23.0 kJ/mol of formula units

=====

No. 10
The following is a PBE calculation of a relaxed structure of AlH, from Alexandria. Values from VASP.

```
&SYSTEM
  ibrav = 0, nat = 2, ntyp = 2
/
ATOMIC_SPECIES
Al 26.98 Al.upf
H 1.01 H.upf
CELL_PARAMETERS angstrom
0.000 2.176 2.176
2.176 0.000 2.176
2.176 2.176 0.000
ATOMIC_POSITIONS crystal
Al 0.000 0.000 0.000
H 0.250 0.250 0.250
```

## Properties
Space group ... F-43m (216)
Calculated volume ... 20.60 Å³/cell
ΔE to the lowest computed polymorph ... 46.8 kJ/mol of formula units

=====

No. 11
The following is a PBE calculation of a relaxed structure of AlH2, from Alexandria. Values from VASP.

```
&SYSTEM
  ibrav = 0, nat = 3, ntyp = 2
/
ATOMIC_SPECIES
Al 26.98 Al.upf
H 1.01 H.upf
CELL_PARAMETERS angstrom
2.674 -1.574 0.000
2.674 1.574 0.000
-0.065 0.000 2.806
ATOMIC_POSITIONS crystal
Al 0.000 0.000 0.000
H 0.335 0.335 0.237
H 0.665 0.665 0.763
```

## Properties
Calculated total energy ... -9.52 eV/cell
Space group ... C2/m (12)
Calculated volume ... 23.61 Å³/cell

=====

No. 12
The following is a PBE calculation of a relaxed structure of AlH2, from Alexandria. Values from VASP.

```
&SYSTEM
  ibrav = 0, nat = 6, ntyp = 2
/
ATOMIC_SPECIES
Al 26.98 Al.upf
H 1.01 H.upf
CELL_PARAMETERS angstrom
1.603 -5.926 0.000
1.603 5.926 0.000
0.000 0.000 3.206
ATOMIC_POSITIONS crystal
Al 0.109 0.891 0.000
Al 0.891 0.109 0.000
H 0.162 0.838 0.500
H 0.334 0.666 0.000
H 0.666 0.334 0.000
H 0.838 0.162 0.500
```

## Properties
Calculated total energy ... -20.22 eV/cell
Space group ... Cmmm (65)
Calculated volume ... 60.92 Å³/cell